Density functional theory data (PBE) for crystalline Tb3CoGe3 at its relaxed geometry.

Properties
Formation energy from the elements in eV/atom: -0.787
Density of states at the Fermi level in states/eV per atom: 0.657

Lattice parameters (Å, degrees): 4.233 5.755 13.124 84.72 80.72 68.42
Site moments in Bohr magnetons follow the coordinates.
Positions (direct):
Tb (0.527, 0.328, 0.618)  -0.01
Tb (0.473, 0.672, 0.382)  -0.01
Tb (0.255, 0.260, 0.230)  -0.01
Tb (0.745, 0.740, 0.770)  -0.01
Tb (0.403, 0.275, 0.919)  0.00
Tb (0.597, 0.725, 0.081)  0.00
Co (0.755, 0.075, 0.415)  0.32
Co (0.245, 0.925, 0.585)  0.32
Ge (0.857, 0.740, 0.547)  0.00
Ge (0.143, 0.260, 0.453)  0.00
Ge (0.126, 0.824, 0.924)  0.00
Ge (0.874, 0.176, 0.076)  0.00
Ge (0.952, 0.852, 0.244)  0.00
Ge (0.048, 0.148, 0.756)  0.00